Record 1
Compound: BaGe2S4
Source: Alexandria via LeMat-Bulk
Functional: PBE
Structure: relaxed

Lattice parameters (Å, degrees): 6.3956 6.3956 6.3956 103.09 103.09 123.15
With the nearest neighbours (Å) after each atom.
Atoms (fractional coordinates):
Ba  0.5000  0.5000  0.0000  4 S 3.20
Ge  0.2500  0.7500  0.5000  4 S 2.41
Ge  0.7500  0.2500  0.5000  4 S 2.41
S  0.3139  0.1426  0.4566  2 Ge 2.41
S  0.8574  0.3139  0.1713  2 Ge 2.41
S  0.1426  0.6861  0.8287  2 Ge 2.41
S  0.6861  0.8574  0.5434  2 Ge 2.41

**Energy**: -32.3 eV for the cell shown
**DOS(E_F)**: 1.62 states/eV per cell
**Raw formation energy**: -0.66 eV/atom


Record 2
Compound: Mg2TlMo
Source: Alexandria via LeMat-Bulk
Functional: PBE
Structure: relaxed

Lattice parameters (Å, degrees): 9.8945 9.8945 9.8945 18.15 18.15 18.15
With the nearest neighbours (Å) after each atom.
Atoms (fractional coordinates):
Mg  0.9940  0.9940  0.9940  3 Mo 2.89, 6 Mg 3.12, 3 Tl 3.17
Mg  0.5060  0.5060  0.5060  3 Mo 2.89, 6 Mg 3.12, 3 Tl 3.17
Mo  0.2500  0.2500  0.2500  6 Mg 2.89, 6 Mo 3.12
Tl  0.7500  0.7500  0.7500  6 Tl 3.12, 6 Mg 3.17

**Energy**: -14.9 eV for the cell shown
**ΔE to the lowest computed polymorph**: 83 meV/atom
**DOS(E_F)**: 2.64 states/eV per cell
**Formation energy from the elements**: 1.459 eV/f.u.


Record 3
Compound: CaCdIn2Hg4
Source: Alexandria via LeMat-Bulk
Functional: PBE
Structure: relaxed

Lattice parameters (Å, degrees): 6.3555 6.3555 6.9411 104.43 104.43 117.12
With the nearest neighbours (Å) after each atom.
Atoms (fractional coordinates):
Ca  0.5000  0.5000  0.0000  6 Hg 3.15-3.18, 2 In 3.32
Cd  0.7500  0.2500  0.5000  6 Hg 3.02-3.18, 2 In 3.32
In  0.2500  0.7500  0.5000  6 Hg 3.08-3.18, 2 Cd 3.32
In  0.0000  0.0000  0.0000  6 Hg 2.95-3.18
Hg  0.9978  0.4978  0.9956  1 Cd 3.02, 3 In 3.08-3.18, 2 Ca 3.18, 2 Hg 3.32
Hg  0.5022  0.0022  0.0044  1 Cd 3.02, 3 In 3.08-3.18, 2 Ca 3.18, 2 Hg 3.32
Hg  0.7583  0.7583  0.5166  3 In 2.95-3.18, 1 Ca 3.15, 2 Cd 3.18
Hg  0.2417  0.2417  0.4834  3 In 2.95-3.18, 1 Ca 3.15, 2 Cd 3.18

**Energy**: -10.5 eV for the cell shown
**DOS(E_F)**: 3.32 states/eV per cell
**Formation energy from the elements**: -0.905 eV/f.u.